A plane-wave DFT calculation with PBE-GGA was carried out for a geometry-optimized Ba2Tl2Pd structure.

Cell lengths 7.8490, 7.8490, 5.4615 Å; angles 90.00, 90.00, 90.00 degrees
With the nearest neighbours (Å) after each atom.
Space group P4/mbm (No. 127)
Inequivalent atoms, fractional coordinates:
Ba 0.1697 0.3303 0.0000 x4  6 Tl 3.43-3.68, 1 Ba 3.77
Tl 0.1438 0.6438 0.5000 x4  2 Pd 3.01, 1 Tl 3.19
Pd 0.0000 0.0000 0.5000 x2  4 Tl 3.01

## Properties
Uncorrected energy (eV per atom): -2.9980
Total magnetic moment (μB per formula unit): 0.0
Density of states at the Fermi level (states/eV/atom): 0.82
Energy relative to the elements (eV/atom): -0.244
E above lowest polymorph (kJ/mol of formula units): 95


A plane-wave DFT calculation with PBE-GGA was carried out for a geometry-optimized Ca2TlGa structure.

Cell lengths 3.7554, 3.7554, 32.4688 Å; angles 90.00, 90.00, 120.00 degrees
With the nearest neighbours (Å) after each atom.
Space group R-3m (No. 166, hexagonal axes)
Inequivalent atoms, fractional coordinates:
Ca 0.0000 0.0000 0.1004 x6  3 Ga 3.05, 1 Tl 3.26
Tl 0.0000 0.0000 0.0000 x3  2 Ca 3.26
Ga 0.0000 0.0000 0.5000 x3  6 Ca 3.05

## Properties
Uncorrected energy (eV per atom): -2.4354
Total magnetic moment (μB per formula unit): 0.0
Density of states at the Fermi level (states/eV/atom): 1.02
Energy relative to the elements (eV/atom): -0.086
E above lowest polymorph (kJ/mol of formula units): 134


A plane-wave DFT calculation with PBE-GGA was carried out for a geometry-optimized KTiInF6 structure.

Cell lengths 6.2532, 10.8868, 5.1573 Å; angles 90.00, 90.02, 90.00 degrees
With the nearest neighbours (Å) after each atom.
Space group C2 (No. 5)
Inequivalent atoms, fractional coordinates:
K 0.0000 0.0000 0.0000 x2  6 F 2.63
Ti 0.0000 0.3327 0.0000 x2  6 F 1.90
In 0.0000 0.6675 0.5000 x2  6 F 2.81-2.84
F 0.1235 0.4578 0.7918 x4  1 Ti 1.90
F 0.1265 0.2082 0.7914 x4  1 Ti 1.90
F 0.2487 0.8316 0.7919 x4  1 Ti 1.90

## Properties
Uncorrected energy (eV per atom): -5.5070
Total magnetic moment (μB per formula unit): 0.0
Density of states at the Fermi level (states/eV/atom): 0.00
Uncorrected formation energy (eV/atom): -2.956